Entry 1:
A geometry-optimized NiHgIO2 structure, computed with GGA+U.

```
NiHgIO2
1.0
4.0975 0.0000 0.0000
0.0000 4.0975 0.0000
0.0000 0.0000 7.1597
Ni Hg I O
1 1 1 2
Direct
0.0000 0.0000 0.0000 Ni
0.5000 0.5000 0.5000 Hg
0.5000 0.5000 0.0000 I
0.0000 0.5000 0.5000 O
0.5000 0.0000 0.5000 O
```

Calculated values
energy above the most stable polymorph in this dataset: 383.6 meV per atom
total moment: 2.2 Bohr magnetons per cell
electronic total energy: -11.6 eV per cell

***

Entry 2:
A geometry-optimized NiHgIO2 structure, computed with GGA+U.

```
NiHgIO2
1.0
4.0395 0.0000 0.0000
0.0000 4.0395 0.0000
0.0000 0.0000 5.8971
Ni Hg I O
1 1 1 2
Direct
0.0000 0.0000 0.0000 Ni
0.5000 0.5000 0.5000 Hg
0.0000 0.0000 0.5000 I
0.0000 0.5000 0.0000 O
0.5000 0.0000 0.0000 O
```

Calculated values
energy above the most stable polymorph in this dataset: 0.0 meV per atom
total moment: 3.2 Bohr magnetons per cell
electronic total energy: -13.5 eV per cell